Entry 1:
Crystalline Be2CdBr at its relaxed geometry, computed with GGA-PBE.

abc: 3.127 3.885 6.107
angles: 89.92 90.00 90.00
Positions (direct):
Be: 0.000 0.249 0.927
Be: 0.000 0.251 0.573
Cd: 0.500 0.750 0.750
Br: 0.500 0.250 0.250

E_form (uncorrected) in eV/atom: 0.463
Space group: P2/m

Entry 2:
Crystalline SrSm2Ni at its relaxed geometry, computed with GGA-PBE.

abc: 4.075 4.075 10.042
angles: 78.29 78.29 60.00
Positions (direct):
Sr: 0.500 0.500 0.500
Sm: 0.716 0.716 0.852
Sm: 0.284 0.284 0.148
Ni: 0.000 0.000 0.000

Formation enthalpy at 0 K in kJ per mole of atoms: -6.5
Space group: R-3m

Number 1: electronic total energy -2.05 eV/atom, magnetization 0.000 μB per atom, E above lowest polymorph 172.3 meV per atom. Number 2: electronic total energy -4.29 eV/atom, magnetization 0.000 μB per atom, E above lowest polymorph 11.5 meV per atom.